Entry 1:
# Li5Mg3Tl4 (PBE, relaxed)
# - energy relative to the elements (eV/atom) = -0.135
# - SG = P-1, No. 2
# - Fermi-level density of states (states/eV/cell) = 3.7
data_Li5Mg3Tl4
_symmetry_space_group_name_H-M 'P 1'
_symmetry_Int_Tables_number 1
_cell_length_a 6.053
_cell_length_b 7.743
_cell_length_c 7.689
_cell_angle_alpha 110.70
_cell_angle_beta 50.80
_cell_angle_gamma 107.58
loop_
_symmetry_equiv_pos_as_xyz
'x,y,z'
loop_
_atom_site_label
_atom_site_type_symbol
_atom_site_fract_x
_atom_site_fract_y
_atom_site_fract_z
Li1 Li 0.693 0.856 0.831
Li2 Li 0.500 0.500 0.500
Li3 Li 0.272 0.517 0.988
Li4 Li 0.728 0.483 0.012
Li5 Li 0.307 0.144 0.169
Mg1 Mg 0.450 0.841 0.322
Mg2 Mg 0.000 0.500 0.500
Mg3 Mg 0.550 0.159 0.678
Tl1 Tl 0.082 0.194 0.649
Tl2 Tl 0.160 0.803 0.836
Tl3 Tl 0.840 0.197 0.164
Tl4 Tl 0.918 0.806 0.351


Entry 2:
# Sm4ScTl2 (PBE, relaxed)
# - energy relative to the elements (eV/atom) = 0.011
# - SG = R-3m, No. 166
# - Fermi-level density of states (states/eV/cell) = 12.1
data_Sm4ScTl2
_symmetry_space_group_name_H-M 'P 1'
_symmetry_Int_Tables_number 1
_cell_length_a 5.507
_cell_length_b 5.507
_cell_length_c 9.335
_cell_angle_alpha 72.85
_cell_angle_beta 72.85
_cell_angle_gamma 60.00
loop_
_symmetry_equiv_pos_as_xyz
'x,y,z'
loop_
_atom_site_label
_atom_site_type_symbol
_atom_site_fract_x
_atom_site_fract_y
_atom_site_fract_z
Sm1 Sm 0.731 0.731 0.808
Sm2 Sm 0.869 0.869 0.393
Sm3 Sm 0.269 0.269 0.192
Sm4 Sm 0.131 0.131 0.607
Sc1 Sc 0.500 0.500 0.500
Tl1 Tl 0.611 0.611 0.168
Tl2 Tl 0.389 0.389 0.832


Entry 3:
# NaTb2Gd (PBE, relaxed)
# - energy relative to the elements (eV/atom) = 0.168
# - SG = R-3m, No. 166
# - Fermi-level density of states (states/eV/cell) = 5.6
data_NaTb2Gd
_symmetry_space_group_name_H-M 'P 1'
_symmetry_Int_Tables_number 1
_cell_length_a 3.505
_cell_length_b 3.505
_cell_length_c 12.884
_cell_angle_alpha 82.18
_cell_angle_beta 82.18
_cell_angle_gamma 60.00
loop_
_symmetry_equiv_pos_as_xyz
'x,y,z'
loop_
_atom_site_label
_atom_site_type_symbol
_atom_site_fract_x
_atom_site_fract_y
_atom_site_fract_z
Na1 Na 0.000 0.000 0.000
Gd1 Gd 0.500 0.500 0.500
Tb1 Tb 0.092 0.092 0.725
Tb2 Tb 0.908 0.908 0.275


Entry 4:
# Co2TcHPt (PBE, relaxed)
# - E (eV/atom) = -6.737
# - SG = P4/mmm, No. 123
# - Fermi-level density of states (states/eV/cell) = 4.8
data_Co2TcHPt
_symmetry_space_group_name_H-M 'P 1'
_symmetry_Int_Tables_number 1
_cell_length_a 3.789
_cell_length_b 3.789
_cell_length_c 3.748
_cell_angle_alpha 90.00
_cell_angle_beta 90.00
_cell_angle_gamma 90.00
loop_
_symmetry_equiv_pos_as_xyz
'x,y,z'
loop_
_atom_site_label
_atom_site_type_symbol
_atom_site_fract_x
_atom_site_fract_y
_atom_site_fract_z
H1 H 0.000 0.000 0.000
Co1 Co 0.000 0.500 0.000
Co2 Co 0.500 0.000 0.000
Tc1 Tc 0.000 0.000 0.500
Pt1 Pt 0.500 0.500 0.500


Entry 5:
# Rb2Ge2Pt (PBE, relaxed)
# - energy relative to the elements (eV/atom) = -0.205
# - SG = C2/m, No. 12
# - Fermi-level density of states (states/eV/cell) = 5.8
data_Rb2Ge2Pt
_symmetry_space_group_name_H-M 'P 1'
_symmetry_Int_Tables_number 1
_cell_length_a 4.611
_cell_length_b 7.345
_cell_length_c 9.959
_cell_angle_alpha 87.51
_cell_angle_beta 76.61
_cell_angle_gamma 71.71
loop_
_symmetry_equiv_pos_as_xyz
'x,y,z'
loop_
_atom_site_label
_atom_site_type_symbol
_atom_site_fract_x
_atom_site_fract_y
_atom_site_fract_z
Rb1 Rb 0.651 0.363 0.335
Rb2 Rb 0.898 0.308 0.896
Rb3 Rb 0.349 0.637 0.665
Rb4 Rb 0.102 0.692 0.104
Ge1 Ge 0.145 0.138 0.571
Ge2 Ge 0.604 0.903 0.889
Ge3 Ge 0.855 0.862 0.429
Ge4 Ge 0.396 0.097 0.111
Pt1 Pt 0.647 0.048 0.658
Pt2 Pt 0.353 0.952 0.342


Entry 6:
# TaP2Se6 (PBE, relaxed)
# - energy relative to the elements, uncorrected (eV/atom) = -0.13
# - SG = C2/c, No. 15
# - Fermi-level density of states (states/eV/cell) = 6.0
data_TaP2Se6
_symmetry_space_group_name_H-M 'P 1'
_symmetry_Int_Tables_number 1
_cell_length_a 6.301
_cell_length_b 10.149
_cell_length_c 10.149
_cell_angle_alpha 100.26
_cell_angle_beta 78.32
_cell_angle_gamma 78.32
loop_
_symmetry_equiv_pos_as_xyz
'x,y,z'
loop_
_atom_site_label
_atom_site_type_symbol
_atom_site_fract_x
_atom_site_fract_y
_atom_site_fract_z
Ta1 Ta 0.250 0.100 0.900
Ta2 Ta 0.750 0.900 0.100
P1 P 0.260 0.643 0.783
P2 P 0.240 0.217 0.357
P3 P 0.740 0.357 0.217
P4 P 0.760 0.783 0.643
Se1 Se 0.454 0.711 0.596
Se2 Se 0.046 0.404 0.289
Se3 Se 0.546 0.289 0.404
Se4 Se 0.954 0.596 0.711
Se5 Se 0.776 0.944 0.331
Se6 Se 0.724 0.669 0.056
Se7 Se 0.224 0.056 0.669
Se8 Se 0.276 0.331 0.944
Se9 Se 0.165 0.845 0.955
Se10 Se 0.335 0.045 0.155
Se11 Se 0.835 0.155 0.045
Se12 Se 0.665 0.955 0.845


Entry 7:
# MgSnRh4 (PBE, relaxed)
# - energy relative to the elements (eV/atom) = -0.230
# - SG = C2/m, No. 12
# - Fermi-level density of states (states/eV/cell) = 9.2
data_MgSnRh4
_symmetry_space_group_name_H-M 'P 1'
_symmetry_Int_Tables_number 1
_cell_length_a 2.937
_cell_length_b 5.869
_cell_length_c 7.157
_cell_angle_alpha 121.31
_cell_angle_beta 78.16
_cell_angle_gamma 75.51
loop_
_symmetry_equiv_pos_as_xyz
'x,y,z'
loop_
_atom_site_label
_atom_site_type_symbol
_atom_site_fract_x
_atom_site_fract_y
_atom_site_fract_z
Mg1 Mg 0.000 0.000 0.000
Sn1 Sn 0.500 0.500 0.500
Rh1 Rh 0.835 0.496 0.834
Rh2 Rh 0.334 0.999 0.333
Rh3 Rh 0.165 0.504 0.166
Rh4 Rh 0.666 0.001 0.667


Entry 8:
# KRbAs4 (PBE, relaxed)
# - energy relative to the elements (eV/atom) = -0.316
# - SG = C2/c, No. 15
# - Fermi-level density of states (states/eV/cell) = 0.4
data_KRbAs4
_symmetry_space_group_name_H-M 'P 1'
_symmetry_Int_Tables_number 1
_cell_length_a 9.279
_cell_length_b 8.129
_cell_length_c 8.129
_cell_angle_alpha 107.13
_cell_angle_beta 115.50
_cell_angle_gamma 115.50
loop_
_symmetry_equiv_pos_as_xyz
'x,y,z'
loop_
_atom_site_label
_atom_site_type_symbol
_atom_site_fract_x
_atom_site_fract_y
_atom_site_fract_z
K1 K 0.750 0.659 0.841
K2 K 0.250 0.341 0.159
Rb1 Rb 0.250 0.658 0.842
Rb2 Rb 0.750 0.342 0.158
As1 As 0.991 0.872 0.644
As2 As 0.763 0.144 0.633
As3 As 0.509 0.856 0.628
As4 As 0.737 0.867 0.356
As5 As 0.263 0.133 0.644
As6 As 0.491 0.144 0.372
As7 As 0.237 0.856 0.367
As8 As 0.009 0.128 0.356